1.
The following is a DFT calculation (PBE) of a geometry-optimized PmZnNi4H6 structure.

Properties
**Magnetization**: 0.00 μB/f.u.
**E_tot**: -4.379 eV/atom
**Fermi-level density of states**: 0.34 states/eV/atom

Cell and atoms, written as extended XYZ:
```
12
Lattice="4.3313 0.0000 0.0000 -2.1656 3.7510 0.0000 0.0000 0.0000 6.5849" Properties=species:S:1:pos:R:3 pbc="T T T"
H -1.0828 1.8755 2.2009
H -1.0828 1.8755 4.3840
Ni 2.1656 1.2503 5.3961
Ni 0.0000 2.5007 5.3961
H 2.1656 0.0000 4.3840
H 1.0828 1.8755 2.2009
Ni 0.0000 2.5007 1.1888
Zn 0.0000 0.0000 0.0000
H 1.0828 1.8755 4.3840
H 2.1656 0.0000 2.2009
Ni 2.1656 1.2503 1.1888
Pm 0.0000 0.0000 3.2924
```

=====

2.
The following is a DFT calculation (PBE) of a geometry-optimized HfTa2Ni structure.

Properties
**Magnetization**: 0.00 μB/f.u.
**E_tot**: -9.445 eV/atom
**Energy relative to the elements**: 0.415 eV per atom
**Fermi-level density of states**: 0.67 states/eV/atom
**Relative energy among the computed polymorphs**: 22.7 kJ per mole of atoms

Cell and atoms, written as extended XYZ:
```
8
Lattice="3.8026 0.0000 0.0000 0.0000 3.8026 0.0000 1.9013 1.9013 10.1872" Properties=species:S:1:pos:R:3 pbc="T T T"
Hf 0.0000 0.0000 0.0000
Ta 2.8520 2.8542 7.6404
Ni 1.9013 1.9013 0.0000
Ta 2.8498 0.9507 2.5468
Ta 0.9528 2.8520 2.5468
Ni 1.9013 3.8026 5.0936
Hf 3.8026 1.9013 5.0936
Ta 4.7533 4.7511 7.6404
```

=====

3.
The following is a DFT calculation (PBE) of a geometry-optimized TmSc2Hg5 structure.

Properties
**Magnetization**: 0.00 μB/f.u.
**E_tot**: -2.689 eV/atom
**Energy relative to the elements**: -0.359 eV per atom
**Fermi-level density of states**: 0.53 states/eV/atom

Cell and atoms, written as extended XYZ:
```
8
Lattice="4.9960 0.0000 0.0000 0.0000 4.9960 0.0000 -2.4980 -2.4980 7.2133" Properties=species:S:1:pos:R:3 pbc="T T T"
Sc 0.0000 0.0000 3.7590
Hg 2.4980 0.0000 1.8909
Hg 2.4980 0.0000 5.3223
Hg 2.4980 2.4980 0.0000
Tm 0.0000 0.0000 0.0000
Sc 2.4980 2.4980 3.4543
Hg 0.0000 2.4980 1.8909
Hg 0.0000 2.4980 5.3223
```

=====

4.
The following is a DFT calculation (PBE) of a geometry-optimized Sr2AcCuS4 structure.

Properties
**Magnetization**: 0.00 μB/f.u.
**E_tot**: -5.270 eV/atom

Cell and atoms, written as extended XYZ:
```
16
Lattice="4.1325 0.0000 0.0000 -2.0662 6.7187 0.0000 0.0000 0.0000 14.4990" Properties=species:S:1:pos:R:3 pbc="T T T"
S 2.0662 2.9650 9.1537
Sr 2.0662 1.7958 0.8623
S 0.0000 0.0000 7.2495
S 0.0000 5.9444 10.8743
Cu 0.0000 2.1284 3.6248
S 2.0662 0.7743 3.6248
Sr 0.0000 4.9229 8.1119
Sr 0.0000 4.9229 13.6367
Sr 2.0662 1.7958 6.3872
S 0.0000 3.7537 5.3453
S 2.0662 2.9650 12.5948
S 0.0000 3.7537 1.9042
Cu 2.0662 4.5903 10.8743
Ac 0.0000 1.4712 10.8743
S 0.0000 0.0000 0.0000
Ac 2.0662 5.2475 3.6248
```

=====

5.
The following is a DFT calculation (PBE) of a geometry-optimized SrPmPb4 structure.

Properties
**Magnetization**: 0.00 μB/f.u.
**E_tot**: -3.801 eV/atom
**Energy relative to the elements**: -0.257 eV per atom
**Fermi-level density of states**: 0.91 states/eV/atom
**Relative energy among the computed polymorphs**: 12.2 kJ per mole of atoms

Cell and atoms, written as extended XYZ:
```
6
Lattice="-5.3096 2.7463 2.6755 -5.7009 -0.0734 -3.2227 -4.9160 -3.7681 2.1275" Properties=species:S:1:pos:R:3 pbc="T T T"
Pb -7.2964 -2.0641 -0.3549
Sr -3.9816 -0.2738 0.3951
Pm 0.0000 0.0000 0.0000
Pb -7.0999 -0.6482 2.6068
Pb -7.4941 1.2071 -0.0798
Pb -9.9627 -0.6851 0.9886
```

=====

6.
The following is a DFT calculation (PBE) of a geometry-optimized Ti6Zn5 structure.

Properties
**Magnetization**: 0.40 μB/f.u.
**E_tot**: -4.922 eV/atom
**Energy relative to the elements**: -0.036 eV per atom
**Fermi-level density of states**: 1.10 states/eV/atom

Cell and atoms, written as extended XYZ:
```
11
Lattice="4.0914 -0.0001 1.4276 0.0003 6.3872 -0.0003 -0.0871 0.0003 6.8259" Properties=species:S:1:pos:R:3 pbc="T T T"
Ti 0.5751 4.8597 4.9315
Zn 1.3095 3.1936 2.8234
Zn 2.7073 0.0001 5.3967
Ti 3.4297 4.8595 3.3215
Ti 3.4295 1.5276 3.3217
Ti 2.0459 4.8960 0.7136
Zn 2.6951 3.1937 5.4297
Zn 1.2970 0.0001 2.8568
Ti 1.9587 1.4913 7.5396
Ti 0.5749 1.5278 4.9317
Zn 0.0002 3.1936 -0.0001
```

=====

7.
The following is a DFT calculation (PBE) of a geometry-optimized K2UBeTe5 structure.

Properties
**Magnetization**: 0.67 μB/f.u.
**E_tot**: -4.277 eV/atom
**Fermi-level density of states**: 0.42 states/eV/atom

Cell and atoms, written as extended XYZ:
```
18
Lattice="4.1668 0.0000 0.0000 -2.0834 10.5464 0.0000 0.0000 0.0000 15.2692" Properties=species:S:1:pos:R:3 pbc="T T T"
Te 2.0834 9.2872 7.8907
Be 2.0834 1.7213 14.1447
Te 0.0000 10.2185 4.5492
Te 2.0834 4.1210 13.3933
K 0.0000 2.6820 10.5151
U 2.0834 6.3302 7.9409
Be 0.0000 8.8251 6.5101
Te 0.0000 7.0631 0.1320
Te 2.0834 3.4833 7.7666
K 2.0834 8.0261 12.6596
U 0.0000 4.2162 0.3063
Te 2.0834 4.1354 2.4329
Te 0.0000 1.2592 0.2561
K 2.0834 7.8644 2.8804
Te 0.0000 6.4254 5.7586
K 0.0000 2.5203 5.0250
Te 0.0000 6.4110 10.0676
Te 2.0834 0.3279 12.1838
```

=====

8.
The following is a DFT calculation (PBE) of a geometry-optimized CaTcP2 structure.

Properties
**Magnetization**: 0.00 μB/f.u.
**E_tot**: -5.649 eV/atom
**Energy relative to the elements**: 0.148 eV per atom
**Fermi-level density of states**: 0.74 states/eV/atom
**Relative energy among the computed polymorphs**: 71.0 kJ per mole of atoms

Cell and atoms, written as extended XYZ:
```
4
Lattice="8.3172 0.0699 0.0415 7.6954 3.1562 0.0415 7.6954 1.5504 2.7495" Properties=species:S:1:pos:R:3 pbc="T T T"
Ca 17.7396 3.5741 2.1193
Tc 12.2674 2.4716 1.4656
P 5.8783 1.1843 0.7023
P 23.3849 4.7115 2.7938
```

=====

9.
The following is a DFT calculation (PBE) of a geometry-optimized GdHfCoRu structure.

Properties
**Magnetization**: 6.54 μB/f.u.
**E_tot**: -10.432 eV/atom
**Energy relative to the elements**: -0.328 eV per atom
**Fermi-level density of states**: 0.38 states/eV/atom

Cell and atoms, written as extended XYZ:
```
4
Lattice="-0.0658 3.0031 3.5766 1.3973 -1.3831 4.2366 4.0106 1.6051 1.7757" Properties=species:S:1:pos:R:3 pbc="T T T"
Co 2.6710 1.6126 4.7945
Gd 1.3355 0.8063 2.3972
Hf 4.0066 2.4188 7.1917
Ru 0.0000 0.0000 0.0000
```

=====

10.
The following is a DFT calculation (PBE) of a geometry-optimized PaCuS3Cl structure.

Properties
**Magnetization**: 0.00 μB/f.u.
**E_tot**: -5.592 eV/atom
**Fermi-level density of states**: 0.63 states/eV/atom

Cell and atoms, written as extended XYZ:
```
12
Lattice="4.0938 0.0000 0.0000 -2.0469 7.6764 0.0000 0.0000 0.0000 10.1675" Properties=species:S:1:pos:R:3 pbc="T T T"
Pa 0.0000 0.0000 0.0000
S 0.0000 5.9828 9.9238
S 0.0000 0.5874 7.6257
Cu 2.0469 1.8342 2.5419
Cu 0.0000 5.8422 7.6257
Pa 0.0000 0.0000 5.0838
S 0.0000 5.9828 5.3275
Cl 2.0469 4.6223 7.6257
S 2.0469 1.6936 4.8401
Cl 0.0000 3.0541 2.5419
S 2.0469 7.0890 2.5419
S 2.0469 1.6936 0.2437
```

=====

11.
The following is a DFT calculation (PBE) of a geometry-optimized SbMoIr2 structure.

Properties
**Magnetization**: 1.34 μB/f.u.
**E_tot**: -7.990 eV/atom
**Fermi-level density of states**: 1.06 states/eV/atom

Cell and atoms, written as extended XYZ:
```
4
Lattice="4.0514 0.0000 0.0000 0.0000 4.0500 0.0000 0.0000 0.0000 3.9924" Properties=species:S:1:pos:R:3 pbc="T T T"
Mo 2.0257 0.0000 1.9962
Sb 0.0000 2.0250 1.9962
Ir 0.0000 0.0000 0.0000
Ir 2.0257 2.0250 0.0000
```

=====

12.
The following is a DFT calculation (PBE) of a geometry-optimized Ta2InP structure.

Properties
**Magnetization**: 0.00 μB/f.u.
**E_tot**: -7.668 eV/atom
**Energy relative to the elements**: 0.295 eV per atom
**Fermi-level density of states**: 1.00 states/eV/atom
**Relative energy among the computed polymorphs**: 56.6 kJ per mole of atoms

Cell and atoms, written as extended XYZ:
```
4
Lattice="-4.3186 -1.5860 -0.3597 -2.5994 -0.4929 3.7809 -3.5674 2.8340 0.7331" Properties=species:S:1:pos:R:3 pbc="T T T"
In -5.2427 0.3776 2.0771
P 0.0000 0.0000 0.0000
Ta -2.6213 0.1888 1.0386
Ta -7.8640 0.5663 3.1157
```

=====

13.
The following is a DFT calculation (PBE) of a geometry-optimized Mg3Ga2Ag2 structure.

Properties
**Magnetization**: 0.00 μB/f.u.
**E_tot**: -2.468 eV/atom
**Energy relative to the elements**: -0.105 eV per atom
**Fermi-level density of states**: 0.31 states/eV/atom
**Relative energy among the computed polymorphs**: 4.4 kJ per mole of atoms

Cell and atoms, written as extended XYZ:
```
14
Lattice="4.9069 0.0000 -1.9920 0.0000 10.7348 0.0000 -1.0283 0.0000 5.5648" Properties=species:S:1:pos:R:3 pbc="T T T"
Ag 0.6070 3.4189 3.1406
Ag 3.5746 1.9485 -0.6378
Ga 1.0943 3.1068 0.2299
Ga 3.0337 2.2606 2.0163
Ga 0.8450 8.4742 1.5565
Ga 2.7843 7.6279 3.3428
Mg 1.9393 5.3674 1.7864
Mg 0.8670 0.5583 2.9876
Mg 0.0440 5.9256 4.3636
Ag 3.2716 7.3159 0.4322
Mg 0.0000 0.0000 0.0000
Ag 0.3040 8.7862 4.2106
Mg 3.0116 10.1765 0.5852
Mg 3.8346 4.8091 -0.7908
```